A plane-wave DFT calculation with PBE+U was carried out for a geometry-optimized LaFeSe2O8 structure. Values from VASP.

The structure in Quantum ESPRESSO input format:
```
&SYSTEM
  ibrav = 0, nat = 12, ntyp = 4
/
ATOMIC_SPECIES
Fe 55.84 Fe.upf
Se 78.96 Se.upf
O 16.00 O.upf
La 138.91 La.upf
CELL_PARAMETERS angstrom
5.618 0.000 0.000
-2.809 4.866 0.000
0.000 0.000 6.931
ATOMIC_POSITIONS angstrom
Fe 0.000 0.000 0.000
Se 2.809 1.622 1.843
Se 0.000 3.244 5.087
O -1.484 4.100 5.478
O 1.325 0.765 1.453
O 2.809 3.335 1.453
O 2.809 1.622 3.525
O 0.000 1.530 5.478
O 0.000 3.244 3.406
O 1.484 4.100 5.478
O 4.293 0.765 1.453
La 0.000 0.000 3.465
```

Results
- N(E_F): 2.44 states/eV per cell
- Raw total energy: -6.073 eV/atom
- Symmetry: P-3m1